(1)
First-principles (PBEsol) data for an optimized crystal structure of HIrAu2, as listed in the Alexandria database.

As for the total magnetization: 0.0001 μB/atom. The value obtained for the total energy is -68.51 eV/cell.

Cell and atoms, written as extended XYZ:
```
16
Lattice="6.113 0.000 0.000 0.000 6.113 0.000 0.000 0.000 6.113" Properties=species:S:1:pos:R:3 pbc="T T T"
H 0.000 0.000 0.000
H 0.000 3.057 3.057
H 3.057 0.000 3.057
H 3.057 3.057 0.000
Ir 0.000 0.000 3.057
Ir 0.000 3.057 0.000
Ir 3.057 0.000 0.000
Ir 3.057 3.057 3.057
Au 1.528 1.528 1.528
Au 1.528 1.528 4.585
Au 1.528 4.585 1.528
Au 1.528 4.585 4.585
Au 4.585 1.528 1.528
Au 4.585 1.528 4.585
Au 4.585 4.585 1.528
Au 4.585 4.585 4.585
```

(2)
First-principles (PBEsol) data for an optimized crystal structure of Mg2ScTl, as listed in the Alexandria database.

As for the total magnetization: 0.0002 μB/atom. The energy above the lowest structure with this stoichiometry is 227.4 meV/atom. The value obtained for the total energy is -50.73 eV/cell. The value obtained for the formation energy is -0.003 eV/atom.

Cell and atoms, written as extended XYZ:
```
16
Lattice="7.064 0.000 0.000 0.000 7.064 0.000 0.000 0.000 7.064" Properties=species:S:1:pos:R:3 pbc="T T T"
Mg 1.766 1.766 1.766
Mg 1.766 1.766 5.298
Mg 1.766 5.298 1.766
Mg 1.766 5.298 5.298
Mg 5.298 1.766 1.766
Mg 5.298 1.766 5.298
Mg 5.298 5.298 1.766
Mg 5.298 5.298 5.298
Sc 0.000 0.000 0.000
Sc 0.000 3.532 3.532
Sc 3.532 0.000 3.532
Sc 3.532 3.532 0.000
Tl 0.000 0.000 3.532
Tl 0.000 3.532 0.000
Tl 3.532 0.000 0.000
Tl 3.532 3.532 3.532
```

(3)
First-principles (PBEsol) data for an optimized crystal structure of Zr2TlIn, as listed in the Alexandria database.

As for the total magnetization: 0.0001 μB/atom. The energy above the lowest structure with this stoichiometry is 0.0 meV/atom. The value obtained for the total energy is -49.80 eV/cell. The value obtained for the formation energy is -0.277 eV/atom.

Cell and atoms, written as extended XYZ:
```
8
Lattice="6.271 0.000 0.000 0.000 8.694 0.000 0.000 0.000 3.144" Properties=species:S:1:pos:R:3 pbc="T T T"
Zr 1.568 2.174 0.000
Zr 1.568 6.521 0.000
Zr 4.703 2.174 0.000
Zr 4.703 6.521 0.000
Tl 0.000 0.000 1.572
Tl 3.136 4.347 1.572
In 0.000 4.347 1.572
In 3.136 0.000 1.572
```

(4)
First-principles (PBEsol) data for an optimized crystal structure of Cu5Au, as listed in the Alexandria database.

As for the total magnetization: 0.0000 μB/atom. The energy above the lowest structure with this stoichiometry is 18.0 meV/atom. The value obtained for the total energy is -25.60 eV/cell. The value obtained for the formation energy is -0.002 eV/atom.

Cell and atoms, written as extended XYZ:
```
6
Lattice="4.492 0.000 0.000 -2.246 3.890 0.000 0.000 0.000 4.229" Properties=species:S:1:pos:R:3 pbc="T T T"
Cu -0.781 1.353 0.000
Cu 0.000 2.593 2.115
Cu 1.562 0.000 0.000
Cu 1.465 2.537 0.000
Cu 2.246 1.297 2.115
Au 0.000 0.000 2.115
```

(5)
First-principles (PBEsol) data for an optimized crystal structure of LiVNiO4, as listed in the Alexandria database.

As for the total magnetization: 0.2821 μB/atom. The energy above the lowest structure with this stoichiometry is 0.0 meV/atom. The value obtained for the total energy is -103.97 eV/cell. The energy relative to the elements, uncorrected comes out at -13.2 eV/f.u.

Cell and atoms, written as extended XYZ:
```
14
Lattice="-2.858 2.899 4.032 2.858 -2.899 4.032 2.858 2.899 -4.032" Properties=species:S:1:pos:R:3 pbc="T T T"
Li -1.429 1.449 2.016
Li 1.429 1.449 2.016
V 2.858 1.449 -1.030
V 0.000 1.449 5.062
Ni 0.000 0.000 0.000
Ni 0.000 2.899 0.000
O 2.858 2.831 -2.035
O 2.858 -0.068 2.035
O 1.405 1.449 -0.024
O 1.453 -1.449 4.007
O 1.405 4.348 0.024
O 1.453 1.449 4.056
O 0.000 2.966 1.997
O 0.000 0.068 6.066
```

(6)
First-principles (PBEsol) data for an optimized crystal structure of EuO, as listed in the Alexandria database.

As for the total magnetization: 3.4692 μB/atom. The value obtained for the total energy is -86.39 eV/cell. The energy relative to the elements, uncorrected comes out at -5.8 eV/f.u.

Cell and atoms, written as extended XYZ:
```
8
Lattice="4.980 0.000 0.000 0.000 4.980 0.000 0.000 0.000 4.980" Properties=species:S:1:pos:R:3 pbc="T T T"
Eu 0.000 0.000 0.000
Eu 0.000 2.490 2.490
Eu 2.490 0.000 2.490
Eu 2.490 2.490 0.000
O 0.000 0.000 2.490
O 0.000 2.490 0.000
O 2.490 0.000 0.000
O 2.490 2.490 2.490
```

(7)
First-principles (PBEsol) data for an optimized crystal structure of KCu4Sb2, as listed in the Alexandria database.

As for the total magnetization: 0.0000 μB/atom. The value obtained for the total energy is -28.43 eV/cell. The energy relative to the elements, uncorrected comes out at -0.8 eV/f.u.

Cell and atoms, written as extended XYZ:
```
7
Lattice="2.114 1.221 9.063 -2.114 1.221 9.063 0.000 -2.441 9.063" Properties=species:S:1:pos:R:3 pbc="T T T"
K 0.000 0.000 0.000
Cu 0.000 0.000 3.930
Cu 0.000 0.000 12.345
Cu 0.000 0.000 14.845
Cu 0.000 0.000 23.261
Sb 0.000 0.000 6.577
Sb 0.000 0.000 20.613
```

(8)
First-principles (PBEsol) data for an optimized crystal structure of Rb2YBeC, as listed in the Alexandria database.

As for the total magnetization: 0.0000 μB/atom. The value obtained for the total energy is -16.64 eV/cell. The value obtained for the formation energy is 1.174 eV/atom.

Cell and atoms, written as extended XYZ:
```
5
Lattice="6.301 0.000 0.000 0.000 6.301 0.000 0.000 0.000 4.456" Properties=species:S:1:pos:R:3 pbc="T T T"
Rb 0.000 3.151 0.000
Rb 3.151 0.000 0.000
Y 0.000 0.000 2.228
Be 3.151 3.151 2.228
C 0.000 0.000 0.000
```